{
  "formula": "La4Pm3Sm",
  "functional": "PBE",
  "state": "relaxed",
  "rho_g_cm3": 6.608,
  "formation_enthalpy_0k_ev_per_atom": 0.1997,
  "de_polymorph_kj_per_mol_fu": 127.6,
  "sg": "C2/m, No. 12",
  "magmom_total_mub_per_fu": 0.00,
  "cell": [[3.505, 0.000, -0.442], [-0.086, 6.293, -0.682], [-0.146, 0.574, 12.953]],
  "species": ["Sm", "Pm", "La", "La", "Pm", "La", "Pm", "La"],
  "frac_coords": [[0.500, 0.000, 0.000], [0.143, 0.745, 0.286], [0.280, 0.756, 0.559], [0.106, 0.236, 0.211], [0.857, 0.255, 0.714], [0.720, 0.244, 0.441], [0.000, 0.500, 0.000], [0.894, 0.764, 0.789]]
}

---

{
  "formula": "TlZnIn2Ni",
  "functional": "PBE",
  "state": "relaxed",
  "rho_g_cm3": 7.776,
  "formation_enthalpy_0k_ev_per_atom": 0.0142,
  "sg": "P4/mmm, No. 123",
  "magmom_total_mub_per_fu": 0.00,
  "cell": [[-1.926, 1.531, -4.338], [-3.090, -3.914, -0.009], [-3.274, 2.579, 2.364]],
  "species": ["In", "In", "Ni", "Tl", "Zn"],
  "frac_coords": [[0.000, 0.500, 0.000], [0.500, 0.000, 0.000], [0.000, 0.000, 0.000], [0.500, 0.500, 0.500], [0.000, 0.000, 0.500]]
}

---

{
  "formula": "NaPmTm2Te4",
  "functional": "PBE",
  "state": "relaxed",
  "rho_g_cm3": 7.011,
  "e_form_raw_ev_per_atom": -1.291,
  "sg": "P2/m, No. 10",
  "magmom_total_mub_per_fu": 0.00,
  "cell": [[-1.244, -4.109, 0.648], [0.318, -1.282, -7.526], [6.843, -1.588, 3.065]],
  "species": ["Te", "Pm", "Tm", "Te", "Te", "Na", "Tm", "Te"],
  "frac_coords": [[0.000, 0.757, 0.261], [0.500, 0.500, 0.000], [0.500, 0.000, 0.500], [0.000, 0.243, 0.739], [0.500, 0.747, 0.738], [0.000, 0.000, 0.000], [0.000, 0.500, 0.500], [0.500, 0.253, 0.262]]
}

---

{
  "formula": "LaAsIr2",
  "functional": "PBE",
  "state": "relaxed",
  "rho_g_cm3": 12.988,
  "formation_enthalpy_0k_ev_per_atom": -0.1370,
  "sg": "I-4m2, No. 119",
  "magmom_total_mub_per_fu": 0.00,
  "cell": [[5.417, 0.006, 0.000], [2.331, 4.890, 0.000], [-3.874, -2.448, 2.889]],
  "species": ["Ir", "La", "Ir", "As"],
  "frac_coords": [[0.000, 0.000, 0.000], [0.500, 0.500, 0.000], [0.250, 0.750, 0.500], [0.750, 0.250, 0.500]]
}

---

{
  "formula": "Th6In3Tc",
  "functional": "PBE",
  "state": "relaxed",
  "rho_g_cm3": 10.255,
  "formation_enthalpy_0k_ev_per_atom": -0.0953,
  "sg": "R-3m, No. 166",
  "magmom_total_mub_per_fu": 0.00,
  "cell": [[8.474, 0.971, 0.993], [0.787, 8.493, 0.993], [0.787, 0.804, 8.513]],
  "species": ["In", "Tc", "In", "Th", "Th", "Th", "In", "Th", "In", "Th", "Th", "In", "Th", "Th", "Th", "Th", "Th", "In", "Tc", "Th"],
  "frac_coords": [[0.855, 0.533, 0.855], [0.500, 0.500, 0.500], [0.533, 0.855, 0.855], [0.526, 0.526, 0.167], [0.474, 0.474, 0.833], [0.212, 0.853, 0.212], [0.145, 0.467, 0.145], [0.788, 0.147, 0.788], [0.467, 0.145, 0.145], [0.788, 0.788, 0.147], [0.833, 0.474, 0.474], [0.145, 0.145, 0.467], [0.526, 0.167, 0.526], [0.147, 0.788, 0.788], [0.212, 0.212, 0.853], [0.474, 0.833, 0.474], [0.167, 0.526, 0.526], [0.855, 0.855, 0.533], [0.000, 0.000, 0.000], [0.853, 0.212, 0.212]]
}

---

{
  "formula": "Re3Sb",
  "functional": "PBE",
  "state": "relaxed",
  "rho_g_cm3": 17.318,
  "de_polymorph_kj_per_mol_fu": 160.6,
  "e_form_raw_ev_per_atom": 0.834,
  "sg": "Pm-3m, No. 221",
  "magmom_total_mub_per_fu": 0.00,
  "cell": [[4.026, 0.000, 0.000], [0.000, 4.026, 0.000], [0.000, 0.000, 4.026]],
  "species": ["Re", "Re", "Re", "Sb"],
  "frac_coords": [[0.000, 0.500, 0.500], [0.500, 0.500, 0.000], [0.500, 0.000, 0.500], [0.000, 0.000, 0.000]]
}

---

{
  "formula": "PmSn2Pd7",
  "functional": "PBE",
  "state": "relaxed",
  "rho_g_cm3": 8.321,
  "formation_enthalpy_0k_ev_per_atom": -0.2500,
  "sg": "Cmmm, No. 65",
  "magmom_total_mub_per_fu": 0.00,
  "cell": [[-0.844, -3.019, 3.327], [-1.112, -5.443, -5.221], [6.866, 1.394, 3.007]],
  "species": ["Pd", "Sn", "Pd", "Pd", "Pd", "Pd", "Pd", "Sn", "Pd", "Pm"],
  "frac_coords": [[0.000, 0.792, 0.208], [0.500, 0.301, 0.699], [0.500, 0.500, 0.500], [0.500, 0.928, 0.708], [0.500, 0.292, 0.072], [0.000, 0.208, 0.792], [0.500, 0.708, 0.928], [0.500, 0.699, 0.301], [0.500, 0.072, 0.292], [0.000, 0.000, 0.000]]
}

---

{
  "formula": "KCd3In3",
  "functional": "PBE",
  "state": "relaxed",
  "rho_g_cm3": 5.870,
  "formation_enthalpy_0k_ev_per_atom": -0.0452,
  "de_polymorph_kj_per_mol_fu": 12.5,
  "sg": "R-3m, No. 166",
  "magmom_total_mub_per_fu": 0.00,
  "cell": [[8.610, 0.000, 0.000], [4.305, 7.456, 0.000], [4.305, 2.485, 6.353]],
  "species": ["In", "In", "Cd", "Cd", "K", "Cd", "Cd", "In", "Cd", "Cd", "K", "In", "In", "In"],
  "frac_coords": [[0.678, 0.064, 0.580], [0.678, 0.678, 0.580], [0.688, 0.065, 0.183], [0.936, 0.312, 0.817], [0.626, 0.626, 0.122], [0.065, 0.064, 0.183], [0.935, 0.936, 0.817], [0.322, 0.936, 0.420], [0.312, 0.935, 0.817], [0.064, 0.688, 0.183], [0.374, 0.374, 0.878], [0.064, 0.678, 0.580], [0.322, 0.322, 0.420], [0.936, 0.322, 0.420]]
}